No. 1
The following is a DFT calculation (PBE-GGA) of a relaxed structure of PmBiNO.

Properties
Crystal system: orthorhombic
Energy above the most stable polymorph in this dataset: 0.108 eV per atom

Lattice parameters (Å, degrees): 3.9198 6.6302 6.5373 90.00 90.00 90.00
Last column: nearest neighbours and their distance in Å.
Fractional positions:
Pm 0.0000 0.1954 0.0000  2 O 2.18, 2 N 2.37
Pm 0.0000 0.8046 0.5000  2 O 2.18, 2 N 2.37
Bi 0.5000 0.3235 0.5661  2 N 2.21-2.32
Bi 0.5000 0.6765 0.0661  2 N 2.21-2.32
N 0.5000 0.3783 0.9165  2 Bi 2.21-2.32, 2 Pm 2.37
N 0.5000 0.6217 0.4165  2 Bi 2.21-2.32, 2 Pm 2.37
O 0.0000 0.0738 0.3094  2 Pm 2.18
O 0.0000 0.9262 0.8094  2 Pm 2.18

=====

No. 2
The following is a DFT calculation (PBE-GGA) of a relaxed structure of PmBiNO.

Properties
Crystal system: tetragonal
Energy above the most stable polymorph in this dataset: 0.377 eV per atom

Lattice parameters (Å, degrees): 4.4819 4.4819 7.2474 90.00 90.00 90.00
Last column: nearest neighbours and their distance in Å.
Fractional positions:
Pm 0.2500 0.2500 0.0990  4 O 2.35
Pm 0.7500 0.7500 0.9010  4 O 2.35
Bi 0.2500 0.7500 0.5000  4 N 2.55
Bi 0.7500 0.2500 0.5000  4 N 2.55
N 0.2500 0.2500 0.6684  4 Bi 2.55
N 0.7500 0.7500 0.3316  4 Bi 2.55
O 0.2500 0.7500 0.0000  4 Pm 2.35
O 0.7500 0.2500 0.0000  4 Pm 2.35

=====

No. 3
The following is a DFT calculation (PBE-GGA) of a relaxed structure of PrBiN2O.

Properties
Final energy: -6.5970 eV per atom
Crystal system: monoclinic

Lattice parameters (Å, degrees): 5.9476 5.9476 5.9273 119.40 119.40 90.53
Last column: nearest neighbours and their distance in Å.
Fractional positions:
Pr 0.2276 0.2276 0.4649  3 N 2.45-2.51, 2 O 2.51
Pr 0.7724 0.7724 0.5351  3 N 2.45-2.51, 2 O 2.51
Bi 0.0000 0.5000 0.0000  4 N 2.17-2.23, 2 O 2.23
Bi 0.5000 0.0000 0.0000  4 N 2.17-2.23, 2 O 2.23
N 0.1830 0.8170 0.0000  2 Bi 2.17
N 0.3644 0.3644 0.1399  2 Bi 2.23, 1 Pr 2.45
N 0.6356 0.6356 0.8601  2 Bi 2.23, 1 Pr 2.45
N 0.8170 0.1830 0.0000  2 Bi 2.17
O 0.1709 0.8291 0.5000  2 Bi 2.23
O 0.8291 0.1709 0.5000  2 Bi 2.23

=====

No. 4
The following is a DFT calculation (PBE-GGA) of a relaxed structure of PrBiN2O.

Properties
Final energy: -6.6395 eV per atom
Crystal system: orthorhombic

Lattice parameters (Å, degrees): 5.9978 8.5712 5.8383 90.00 90.00 90.00
Last column: nearest neighbours and their distance in Å.
Fractional positions:
Pr 0.0590 0.2500 0.0210  2 O 2.40-2.52, 4 N 2.46-2.69
Pr 0.4410 0.7500 0.5210  2 O 2.40-2.52, 4 N 2.46-2.69
Pr 0.5590 0.2500 0.4790  2 O 2.40-2.52, 4 N 2.46-2.69
Pr 0.9410 0.7500 0.9790  2 O 2.40-2.52, 4 N 2.46-2.69
Bi 0.0000 0.0000 0.5000  4 N 2.20-2.21, 2 O 2.28
Bi 0.0000 0.5000 0.5000  4 N 2.20-2.21, 2 O 2.28
Bi 0.5000 0.0000 0.0000  4 N 2.20-2.21, 2 O 2.28
Bi 0.5000 0.5000 0.0000  4 N 2.20-2.21, 2 O 2.28
N 0.2020 0.5649 0.8004  2 Bi 2.20-2.21, 1 Pr 2.46
N 0.2020 0.9351 0.8004  2 Bi 2.20-2.21, 1 Pr 2.46
N 0.2980 0.0649 0.3004  2 Bi 2.20-2.21, 1 Pr 2.46
N 0.2980 0.4351 0.3004  2 Bi 2.20-2.21, 1 Pr 2.46
N 0.7020 0.5649 0.6996  2 Bi 2.20-2.21, 1 Pr 2.46
N 0.7020 0.9351 0.6996  2 Bi 2.20-2.21, 1 Pr 2.46
N 0.7980 0.0649 0.1996  2 Bi 2.20-2.21, 1 Pr 2.46
N 0.7980 0.4351 0.1996  2 Bi 2.20-2.21, 1 Pr 2.46
O 0.0456 0.7500 0.3762  2 Bi 2.28, 2 Pr 2.40-2.52
O 0.4544 0.2500 0.8762  2 Bi 2.28, 2 Pr 2.40-2.52
O 0.5456 0.7500 0.1238  2 Bi 2.28, 2 Pr 2.40-2.52
O 0.9544 0.2500 0.6238  2 Bi 2.28, 2 Pr 2.40-2.52

=====

What did we get for total magnetic moment? Answer: 0.001 0.001 0.000 0.001 μB/f.u., in the order shown.